Record 1
## EuCd11 (GGA-PBEsol)

Data for a geometry-optimized EuCd11 structure.

The value obtained for the calculated total energy is -102.3 eV per cell. The density of states at the Fermi level is 53.02 states/eV per cell. The spin magnetization is 7.1 μB/f.u.

It has space group I4_1/amd (No. 141, origin choice 2), with a = 11.781 Å, b = 11.781 Å, c = 7.580 Å, α = 90.00°, β = 90.00° and γ = 90.00°. The asymmetric unit holds Eu at (0.000, 0.250, 0.375), Cd at (0.000, 0.000, 0.000), Cd at (0.000, 0.250, 0.875) and Cd at (0.120, 0.047, 0.673).

Record 2
## MnSe2Cl (GGA-PBEsol)

Data for a geometry-optimized MnSe2Cl structure.

The value obtained for the calculated total energy is -19.6 eV per cell. The density of states at the Fermi level is 2.04 states/eV per cell. The spin magnetization is 2.3 μB/f.u. The calculation puts the formation energy without anion corrections at -9.1 kJ/mol of formula units. For the energy above the lowest structure with this stoichiometry, the calculation gives 293 meV/atom.

It has space group P4mm (No. 99), with a = 2.895 Å, b = 2.895 Å, c = 9.165 Å, α = 90.00°, β = 90.00° and γ = 90.00°. The asymmetric unit holds Mn at (0.000, 0.000, 0.000), Se at (0.000, 0.000, 0.469), Se at (0.500, 0.500, 0.157) and Cl at (0.500, 0.500, 0.831).

Record 3
## ZrIr2Os (GGA-PBEsol)

Data for a geometry-optimized ZrIr2Os structure.

The value obtained for the calculated total energy is -42.1 eV per cell. The density of states at the Fermi level is 3.21 states/eV per cell. The spin magnetization is 0.0 μB/f.u. For the energy above the lowest structure with this stoichiometry, the calculation gives 211 meV/atom.

It has space group P2/m (No. 10), with a = 4.744 Å, b = 2.829 Å, c = 4.782 Å, α = 90.00°, β = 107.92° and γ = 90.00°. The asymmetric unit holds Zr at (0.000, 0.000, 0.000), Ir at (0.000, 0.500, 0.500), Ir at (0.500, 0.000, 0.500) and Os at (0.500, 0.500, 0.000).

Record 4
## MnAsIr2 (GGA-PBEsol)

Data for a geometry-optimized MnAsIr2 structure.

The value obtained for the calculated total energy is -102.2 eV per cell. The density of states at the Fermi level is 10.32 states/eV per cell. The spin magnetization is 3.3 μB/f.u.

It has space group R-3m (No. 166, hexagonal axes), with a = 2.8290 Å, b = 2.8290 Å, c = 24.6143 Å, α = 90.00°, β = 90.00° and γ = 120.00°. The asymmetric unit holds Mn at (0.0000, 0.0000, 0.0000), As at (0.0000, 0.0000, 0.5000) and Ir at (0.0000, 0.0000, 0.2511).

Record 5
## CsVCuF6 (GGA-PBEsol)

Data for a geometry-optimized CsVCuF6 structure.

The value obtained for the calculated total energy is -195.4 eV per cell. The density of states at the Fermi level is 24.19 states/eV per cell. The spin magnetization is 1.9 μB/f.u. The calculation puts the formation energy without anion corrections at -2157.9 kJ/mol of formula units.

It has space group Imma (No. 74), with a = 7.123 Å, b = 7.506 Å, c = 10.470 Å, α = 90.00°, β = 90.00° and γ = 90.00°. The asymmetric unit holds Cs at (0.000, 0.250, 0.112), V at (0.000, 0.000, 0.500), Cu at (0.250, 0.250, 0.750), F at (0.000, 0.250, 0.455), F at (0.000, 0.250, 0.821) and F at (0.188, 0.034, 0.622).

Record 6
## ZnSb2Pb (GGA-PBEsol)

Data for a geometry-optimized ZnSb2Pb structure.

The value obtained for the calculated total energy is -28.0 eV per cell. The density of states at the Fermi level is 3.84 states/eV per cell. The spin magnetization is 0.0 μB/f.u. The calculation puts the formation energy without anion corrections at 66.6 kJ/mol of formula units.

It has space group Cmm2 (No. 35), with a = 4.012 Å, b = 5.202 Å, c = 9.431 Å, α = 90.00°, β = 90.00° and γ = 90.00°. The asymmetric unit holds Zn at (0.000, 0.000, 0.000), Sb at (0.000, 0.000, 0.514), Sb at (0.000, 0.500, 0.796) and Pb at (0.000, 0.500, 0.230).

Record 7
## TaTcMo2 (GGA-PBEsol)

Data for a geometry-optimized TaTcMo2 structure.

The value obtained for the calculated total energy is -48.0 eV per cell. The density of states at the Fermi level is 2.09 states/eV per cell. The spin magnetization is 0.0 μB/f.u. For the energy above the lowest structure with this stoichiometry, the calculation gives 0 meV/atom.

It has space group Pmmm (No. 47), with a = 3.140 Å, b = 4.412 Å, c = 4.468 Å, α = 90.00°, β = 90.00° and γ = 90.00°. The asymmetric unit holds Ta at (0.000, 0.000, 0.000), Tc at (0.500, 0.500, 0.000), Mo at (0.000, 0.500, 0.500) and Mo at (0.500, 0.000, 0.500).

Record 8
## NiP2IO (GGA-PBEsol)

Data for a geometry-optimized NiP2IO structure.

The value obtained for the calculated total energy is -18.3 eV per cell. The density of states at the Fermi level is 3.88 states/eV per cell. The spin magnetization is 0.3 μB/f.u. The calculation puts the formation energy without anion corrections at 624.1 kJ/mol of formula units.

It has space group P4/mmm (No. 123), with a = 5.053 Å, b = 5.053 Å, c = 3.791 Å, α = 90.00°, β = 90.00° and γ = 90.00°. The asymmetric unit holds Ni at (0.000, 0.000, 0.000), P at (0.000, 0.500, 0.500), I at (0.500, 0.500, 0.500) and O at (0.500, 0.500, 0.000).

Record 9
## TlCoTc2 (GGA-PBEsol)

Data for a geometry-optimized TlCoTc2 structure.

The value obtained for the calculated total energy is -60.1 eV per cell. The density of states at the Fermi level is 8.52 states/eV per cell. The spin magnetization is 0.7 μB/f.u. For the energy above the lowest structure with this stoichiometry, the calculation gives 319 meV/atom.

It has space group Cmmm (No. 65), with a = 5.056 Å, b = 8.273 Å, c = 2.849 Å, α = 90.00°, β = 90.00° and γ = 90.00°. The asymmetric unit holds Tl at (0.000, 0.000, 0.000), Co at (0.000, 0.500, 0.000) and Tc at (0.250, 0.250, 0.500).

Record 10
## Mn2RhPb (GGA-PBEsol)

Data for a geometry-optimized Mn2RhPb structure.

The value obtained for the calculated total energy is -30.6 eV per cell. The density of states at the Fermi level is 3.06 states/eV per cell. The spin magnetization is 0.4 μB/f.u.

It has space group P4mm (No. 99), with a = 3.152 Å, b = 3.152 Å, c = 6.326 Å, α = 90.00°, β = 90.00° and γ = 90.00°. The asymmetric unit holds Mn at (0.000, 0.000, 0.000), Mn at (0.500, 0.500, 0.186), Rh at (0.500, 0.500, 0.781) and Pb at (0.000, 0.000, 0.490).

Record 11
## YMn2Co (GGA-PBEsol)

Data for a geometry-optimized YMn2Co structure.

The value obtained for the calculated total energy is -32.6 eV per cell. The density of states at the Fermi level is 4.14 states/eV per cell. The spin magnetization is 7.6 μB/f.u. For the energy above the lowest structure with this stoichiometry, the calculation gives 167 meV/atom.

It has space group P4/mmm (No. 123), with a = 3.834 Å, b = 3.834 Å, c = 4.189 Å, α = 90.00°, β = 90.00° and γ = 90.00°. The asymmetric unit holds Y at (0.000, 0.000, 0.000), Mn at (0.000, 0.500, 0.500) and Co at (0.500, 0.500, 0.000).

Record 12
## K2TlInI6 (GGA-PBEsol)

Data for a geometry-optimized K2TlInI6 structure.

The value obtained for the calculated total energy is -106.3 eV per cell. The spin magnetization is 0.0 μB/f.u. The calculation puts the formation energy without anion corrections at -781.5 kJ/mol of formula units.

It has space group Fm-3m (No. 225), with a = 12.156 Å, b = 12.156 Å, c = 12.156 Å, α = 90.00°, β = 90.00° and γ = 90.00°. The asymmetric unit holds K at (0.250, 0.250, 0.250), Tl at (0.000, 0.000, 0.000), In at (0.000, 0.000, 0.500) and I at (0.000, 0.000, 0.262).

Record 13
## Li4Be3P3IO12 (GGA-PBEsol)

Data for a geometry-optimized Li4Be3P3IO12 structure.

The value obtained for the calculated total energy is -316.3 eV per cell. The density of states at the Fermi level is 0.00 states/eV per cell. The spin magnetization is 0.2 μB/f.u. The calculation puts the formation energy without anion corrections at -5416.8 kJ/mol of formula units.

It has space group P-43n (No. 218), with a = 8.157 Å, b = 8.157 Å, c = 8.157 Å, α = 90.00°, β = 90.00° and γ = 90.00°. The asymmetric unit holds Li at (0.194, 0.194, 0.194), Be at (0.000, 0.250, 0.500), P at (0.000, 0.500, 0.250), I at (0.000, 0.000, 0.000) and O at (0.077, 0.362, 0.646).

Record 14
## CsTbS2 (GGA-PBEsol)

Data for a geometry-optimized CsTbS2 structure.

The value obtained for the calculated total energy is -44.5 eV per cell. The density of states at the Fermi level is 0.00 states/eV per cell. The spin magnetization is 0.0 μB/f.u. The calculation puts the formation energy without anion corrections at -724.3 kJ/mol of formula units.

It has space group P6_3/mmc (No. 194), with a = 4.0472 Å, b = 4.0472 Å, c = 15.8434 Å, α = 90.00°, β = 90.00° and γ = 120.00°. The asymmetric unit holds Cs at (0.3333, 0.6667, 0.2500), Tb at (0.0000, 0.0000, 0.0000) and S at (0.3333, 0.6667, 0.5923).

Record 15
## Cr2FePt (GGA-PBEsol)

Data for a geometry-optimized Cr2FePt structure.

The value obtained for the calculated total energy is -73.3 eV per cell. The density of states at the Fermi level is 6.90 states/eV per cell. The spin magnetization is 0.2 μB/f.u.

It has space group I4/mmm (No. 139), with a = 3.597 Å, b = 3.597 Å, c = 7.299 Å, α = 90.00°, β = 90.00° and γ = 90.00°. The asymmetric unit holds Cr at (0.000, 0.500, 0.250), Fe at (0.000, 0.000, 0.000) and Pt at (0.000, 0.000, 0.500).

Record 16
## SrTl2Pb (GGA-PBEsol)

Data for a geometry-optimized SrTl2Pb structure.

The value obtained for the calculated total energy is -12.4 eV per cell. The density of states at the Fermi level is 2.44 states/eV per cell. The spin magnetization is 0.0 μB/f.u.

It has space group P4/mmm (No. 123), with a = 4.839 Å, b = 4.839 Å, c = 4.961 Å, α = 90.00°, β = 90.00° and γ = 90.00°. The asymmetric unit holds Sr at (0.000, 0.000, 0.000), Tl at (0.000, 0.500, 0.500) and Pb at (0.500, 0.500, 0.000).

Record 17
## Li4Cr3FeO8 (GGA-PBEsol)

Data for a geometry-optimized Li4Cr3FeO8 structure.

The value obtained for the calculated total energy is -360.7 eV per cell. The density of states at the Fermi level is 39.62 states/eV per cell. The spin magnetization is 9.8 μB/f.u. The calculation puts the formation energy without anion corrections at -2959.1 kJ/mol of formula units. For the energy above the lowest structure with this stoichiometry, the calculation gives 7 meV/atom.

It has space group R-3m (No. 166, hexagonal axes), with a = 5.7404 Å, b = 5.7404 Å, c = 14.1726 Å, α = 90.00°, β = 90.00° and γ = 120.00°. The asymmetric unit holds Li at (0.0000, 0.0000, 0.0000), Li at (0.0000, 0.5000, 0.0000), Cr at (0.0000, 0.5000, 0.5000), Fe at (0.0000, 0.0000, 0.5000), O at (0.0000, 0.0000, 0.2423) and O at (0.0033, 0.5016, 0.2419).

Record 18
## PRh2Se (GGA-PBEsol)

Data for a geometry-optimized PRh2Se structure.

The value obtained for the calculated total energy is -54.8 eV per cell. The density of states at the Fermi level is 3.35 states/eV per cell. The spin magnetization is 0.0 μB/f.u. The calculation puts the formation energy without anion corrections at -144.1 kJ/mol of formula units.

It has space group Cm (No. 8), with a = 7.440 Å, b = 3.325 Å, c = 5.254 Å, α = 90.00°, β = 99.60° and γ = 90.00°. The asymmetric unit holds P at (0.000, 0.000, 0.000), Rh at (0.046, 0.500, 0.721), Rh at (0.305, 0.000, 0.071) and Se at (0.308, 0.500, 0.462).

Record 19
## IrSe3 (GGA-PBEsol)

Data for a geometry-optimized IrSe3 structure.

The value obtained for the calculated total energy is -20.2 eV per cell. The density of states at the Fermi level is 2.12 states/eV per cell. The spin magnetization is 0.0 μB/f.u. The calculation puts the formation energy without anion corrections at 117.8 kJ/mol of formula units. For the energy above the lowest structure with this stoichiometry, the calculation gives 207 meV/atom.

It has space group Pmmm (No. 47), with a = 2.829 Å, b = 3.100 Å, c = 8.877 Å, α = 90.00°, β = 90.00° and γ = 90.00°. The asymmetric unit holds Ir at (0.000, 0.000, 0.000), Se at (0.000, 0.000, 0.500) and Se at (0.500, 0.500, 0.181).

Record 20
## RbBeZnC2 (GGA-PBEsol)

Data for a geometry-optimized RbBeZnC2 structure.

The value obtained for the calculated total energy is -15.2 eV per cell. The density of states at the Fermi level is 2.87 states/eV per cell. The spin magnetization is 0.0 μB/f.u.

It has space group P4/mmm (No. 123), with a = 4.168 Å, b = 4.168 Å, c = 4.382 Å, α = 90.00°, β = 90.00° and γ = 90.00°. The asymmetric unit holds Rb at (0.000, 0.000, 0.000), Be at (0.500, 0.500, 0.000), Zn at (0.500, 0.500, 0.500) and C at (0.000, 0.500, 0.500).

Record 21
## CrRh4 (GGA-PBEsol)

Data for a geometry-optimized CrRh4 structure.

The value obtained for the calculated total energy is -86.2 eV per cell. The density of states at the Fermi level is 10.73 states/eV per cell. The spin magnetization is 1.3 μB/f.u. For the energy above the lowest structure with this stoichiometry, the calculation gives 0 meV/atom.

It has space group I4/m (No. 87), with a = 5.910 Å, b = 5.910 Å, c = 3.749 Å, α = 90.00°, β = 90.00° and γ = 90.00°. The asymmetric unit holds Cr at (0.000, 0.000, 0.000) and Rh at (0.103, 0.703, 0.500).

Record 22
## YAu2Cl (GGA-PBEsol)

Data for a geometry-optimized YAu2Cl structure.

The value obtained for the calculated total energy is -19.8 eV per cell. The density of states at the Fermi level is 0.98 states/eV per cell. The spin magnetization is 0.0 μB/f.u. The calculation puts the formation energy without anion corrections at -302.6 kJ/mol of formula units.

It has space group P4mm (No. 99), with a = 3.437 Å, b = 3.437 Å, c = 7.409 Å, α = 90.00°, β = 90.00° and γ = 90.00°. The asymmetric unit holds Y at (0.000, 0.000, 0.000), Au at (0.000, 0.000, 0.410), Au at (0.500, 0.500, 0.222) and Cl at (0.500, 0.500, 0.774).

Record 23
## Zr2CrAg (GGA-PBEsol)

Data for a geometry-optimized Zr2CrAg structure.

The value obtained for the calculated total energy is -30.8 eV per cell. The density of states at the Fermi level is 4.21 states/eV per cell. The spin magnetization is 3.2 μB/f.u. For the energy above the lowest structure with this stoichiometry, the calculation gives 6 meV/atom.

It has space group P4mm (No. 99), with a = 3.274 Å, b = 3.274 Å, c = 6.900 Å, α = 90.00°, β = 90.00° and γ = 90.00°. The asymmetric unit holds Zr at (0.000, 0.000, 0.000), Zr at (0.500, 0.500, 0.292), Cr at (0.500, 0.500, 0.771) and Ag at (0.000, 0.000, 0.551).

Record 24
## K3NbTc (GGA-PBEsol)

Data for a geometry-optimized K3NbTc structure.

The value obtained for the calculated total energy is -13.4 eV per cell. The density of states at the Fermi level is 8.23 states/eV per cell. The spin magnetization is 9.5 μB/f.u.

It has space group Pm-3m (No. 221), with a = 6.469 Å, b = 6.469 Å, c = 6.469 Å, α = 90.00°, β = 90.00° and γ = 90.00°. The asymmetric unit holds K at (0.000, 0.000, 0.500), Nb at (0.000, 0.000, 0.000) and Tc at (0.500, 0.500, 0.500).